i:
{"formula": "NaFeB2", "functional": "PBE-GGA", "state": "relaxed", "lattice_angstrom": [[4.198, 0.000, 0.000], [0.000, 4.198, 0.000], [2.099, 2.099, 6.317]], "species": ["B", "B", "B", "B", "Na", "Na", "Fe", "Fe"], "frac_coords": [[0.375, 0.125, 0.750], [0.875, 0.625, 0.250], [0.875, 0.125, 0.250], [0.875, 0.125, 0.750], [0.500, 0.500, 0.000], [0.250, 0.750, 0.500], [0.750, 0.250, 0.500], [0.000, 0.000, 0.000]], "magmom_total_mub_per_cell": 1.121, "dos_ef_per_ev_atom": 1.15}

---

ii:
{"formula": "NaFeB2", "functional": "PBE-GGA", "state": "relaxed", "lattice_angstrom": [[-3.737, -0.653, 0.192], [-2.418, 2.903, 0.391], [-2.253, 0.997, -2.891]], "species": ["Fe", "Na", "B", "B"], "frac_coords": [[0.500, 0.500, 0.500], [0.000, 0.000, 0.000], [0.750, 0.750, 0.750], [0.250, 0.250, 0.250]], "magmom_total_mub_per_cell": 1.517, "dos_ef_per_ev_atom": 0.49}

---

Winner for stability: i